First-principles (GGA+U) data for a relaxed Ni3PtO crystal, as listed in the Alexandria database.

Cell: 3.9659 3.9659 3.9659 Å, 90.00 90.00 90.00°
Space group Pm-3m (No. 221)
Inequivalent atoms, fractional coordinates:
1 Ni 0.0000 0.0000 0.5000 x3
2 Pt 0.5000 0.5000 0.5000 x1
3 O 0.0000 0.0000 0.0000 x1

Calculated values
The calculation puts the energy at -3.709 eV/atom.